Computed, not measured: a geometry-optimized TaAuNO structure at the PBE-GGA level of DFT.

Values from the calculation:
Total DFT energy (no corrections)   -0.5342 Ry per atom

Unit cell a=3.7125 b=3.7125 c=6.9020 alpha=90.00 beta=90.00 gamma=90.00
Last column: nearest neighbours and their distance in Å.
Space group P4/nmm (No. 129, origin choice 2)
Asymmetric unit:
Ta 0.2500 0.2500 0.1437 (multiplicity 2)  4 O 2.10
Au 0.2500 0.7500 0.5000 (multiplicity 2)  4 Au 2.63, 4 N 2.72
N 0.2500 0.2500 0.7881 (multiplicity 2)  4 O 2.36, 1 Ta 2.45
O 0.2500 0.7500 0.0000 (multiplicity 2)  4 Ta 2.10

Computed, not measured: a geometry-optimized Dy2Co structure at the PBE-GGA level of DFT.

Values from the calculation:
Formation energy   3.44 eV/f.u.
Total DFT energy (no corrections)   -0.3154 Ry per atom

Unit cell a=8.3449 b=8.3449 c=8.3449 alpha=90.00 beta=90.00 gamma=90.00
Last column: nearest neighbours and their distance in Å.
Space group Fd-3m (No. 227, origin choice 2)
Asymmetric unit:
Dy 0.0000 0.0000 0.0000 (multiplicity 16)  6 Dy 2.95
Co 0.1250 0.1250 0.6250 (multiplicity 8)  12 Dy 3.46, 4 Co 3.61

Computed, not measured: a geometry-optimized HoEr2Sb3 structure at the PBE-GGA level of DFT.

Values from the calculation:
Total DFT energy (no corrections)   -0.4003 Ry per atom

Unit cell a=4.3499 b=4.3499 c=10.6540 alpha=90.00 beta=90.00 gamma=120.00
Last column: nearest neighbours and their distance in Å.
Space group P-3m1 (No. 164)
Asymmetric unit:
Ho 0.0000 0.0000 0.0000 (multiplicity 1)  6 Sb 3.08
Er 0.3333 0.6667 0.3335 (multiplicity 2)  6 Sb 3.07
Sb 0.0000 0.0000 0.5000 (multiplicity 1)  6 Er 3.07
Sb 0.3333 0.6667 0.8326 (multiplicity 2)  3 Er 3.07, 3 Ho 3.08

Computed, not measured: a geometry-optimized AcErCd structure at the PBE-GGA level of DFT.

Values from the calculation:
Formation energy   1.76 eV/f.u.
Total DFT energy (no corrections)   -0.1911 Ry per atom

Unit cell a=7.6211 b=7.6211 c=7.6211 alpha=90.00 beta=90.00 gamma=90.00
Last column: nearest neighbours and their distance in Å.
Space group F-43m (No. 216)
Asymmetric unit:
Ac 0.0000 0.0000 0.0000 (multiplicity 4)  4 Er 3.30, 4 Cd 3.30
Er 0.2500 0.2500 0.2500 (multiplicity 4)  4 Ac 3.30
Cd 0.2500 0.2500 0.7500 (multiplicity 4)  4 Ac 3.30

Computed, not measured: a geometry-optimized TlCoCuAg structure at the PBE-GGA level of DFT.

Values from the calculation:
Total DFT energy (no corrections)   -0.2648 Ry per atom

Unit cell a=6.3282 b=6.3282 c=6.3282 alpha=90.00 beta=90.00 gamma=90.00
Last column: nearest neighbours and their distance in Å.
Space group F-43m (No. 216)
Asymmetric unit:
Tl 0.0000 0.0000 0.0000 (multiplicity 4)  4 Cu 2.74, 4 Co 2.74
Co 0.2500 0.2500 0.2500 (multiplicity 4)  4 Tl 2.74, 4 Ag 2.74
Cu 0.2500 0.2500 0.7500 (multiplicity 4)  4 Ag 2.74, 4 Tl 2.74
Ag 0.0000 0.0000 0.5000 (multiplicity 4)  4 Co 2.74, 4 Cu 2.74

Computed, not measured: a geometry-optimized ScCoSiHg structure at the PBE-GGA level of DFT.

Values from the calculation:
Total DFT energy (no corrections)   -0.3491 Ry per atom

Unit cell a=6.3642 b=6.3642 c=6.3642 alpha=90.00 beta=90.00 gamma=90.00
Last column: nearest neighbours and their distance in Å.
Space group F-43m (No. 216)
Asymmetric unit:
Sc 0.0000 0.0000 0.0000 (multiplicity 4)  4 Co 2.76, 4 Hg 2.76
Co 0.2500 0.2500 0.7500 (multiplicity 4)  4 Sc 2.76, 4 Si 2.76
Si 0.0000 0.0000 0.5000 (multiplicity 4)  4 Hg 2.76, 4 Co 2.76
Hg 0.2500 0.2500 0.2500 (multiplicity 4)  4 Sc 2.76, 4 Si 2.76

Computed, not measured: a geometry-optimized LaAgNO structure at the PBE-GGA level of DFT.

Values from the calculation:
Total DFT energy (no corrections)   -0.4501 Ry per atom

Unit cell a=3.9882 b=5.9758 c=6.0247 alpha=90.00 beta=90.00 gamma=90.00
Last column: nearest neighbours and their distance in Å.
Space group Pmc2_1 (No. 26)
Asymmetric unit:
La 0.0000 0.2387 0.0000 (multiplicity 2)  2 O 2.28-2.30, 2 N 2.39
Ag 0.5000 0.2892 0.5060 (multiplicity 2)  2 N 2.13-2.18, 2 O 2.38
N 0.5000 0.3819 0.1644 (multiplicity 2)  2 Ag 2.13-2.18, 2 La 2.39
O 0.0000 0.1167 0.6373 (multiplicity 2)  2 La 2.28-2.30, 2 Ag 2.38

Computed, not measured: a geometry-optimized ScSnAuSe3 structure at the PBE-GGA level of DFT.

Values from the calculation:
Total DFT energy (no corrections)   -0.3523 Ry per atom

Unit cell a=7.7893 b=3.9398 c=9.8141 alpha=90.00 beta=108.23 gamma=90.00
Last column: nearest neighbours and their distance in Å.
Space group P2_1/m (No. 11)
Asymmetric unit:
Sc 0.1932 0.2500 0.1657 (multiplicity 2)  6 Se 2.72-2.91
Sn 0.2251 0.7500 0.7101 (multiplicity 2)  7 Se 3.02-3.24
Au 0.3815 0.7500 0.4038 (multiplicity 2)  3 Se 2.56-2.67
Se 0.0714 0.2500 0.8742 (multiplicity 2)  3 Sc 2.72-2.79, 2 Sn 3.02
Se 0.1814 0.2500 0.4586 (multiplicity 2)  2 Au 2.67, 1 Sc 2.91
Se 0.4335 0.7500 0.1585 (multiplicity 2)  1 Au 2.56, 2 Sc 2.73